Entry 1:
Here is a relaxed structure of Zn4CuAu from the Alexandria database. Energies are from PBE.

abc: 5.159 7.243 6.247
angles: 125.43 94.13 90.00
Fractional positions:
Zn 0.618 0.556 0.234
Zn 0.618 0.178 0.234
Zn 0.118 0.678 0.234
Zn 0.118 0.056 0.234
Zn 0.382 0.822 0.766
Zn 0.382 0.444 0.766
Zn 0.882 0.944 0.766
Zn 0.882 0.322 0.766
Cu 0.750 0.750 0.000
Cu 0.250 0.250 0.000
Au 0.500 0.000 0.500
Au 0.000 0.500 0.500

For the energy above the lowest structure with this stoichiometry, the calculation gives 27.1 meV/atom. Its density of states at the Fermi level is 0.302 states/eV per atom. As for the formation energy: -70 meV per atom.

***

Entry 2:
Here is a relaxed structure of ZnCu3Au7 from the Alexandria database. Energies are from PBE.

abc: 4.868 6.738 6.738
angles: 90.69 110.53 110.53
Fractional positions:
Zn 0.500 0.500 0.500
Cu 0.000 0.770 0.230
Cu 0.500 0.000 0.000
Cu 0.000 0.230 0.770
Au 0.170 0.178 0.178
Au 0.327 0.057 0.601
Au 0.673 0.399 0.943
Au 0.327 0.601 0.057
Au 0.000 0.500 0.500
Au 0.673 0.943 0.399
Au 0.830 0.822 0.822

Its density of states at the Fermi level is 0.310 states/eV per atom. As for the formation energy: 59 meV per atom.

***

Entry 3:
Here is a relaxed structure of Zn4Cu4Au3 from the Alexandria database. Energies are from PBE.

abc: 2.774 4.293 13.721
angles: 80.94 83.98 90.29
Fractional positions:
Zn 0.593 0.093 0.816
Zn 0.268 0.266 0.467
Zn 0.732 0.734 0.533
Zn 0.407 0.907 0.184
Cu 0.542 0.545 0.909
Cu 0.458 0.455 0.091
Cu 0.317 0.815 0.368
Cu 0.683 0.185 0.632
Au 0.137 0.638 0.723
Au 0.863 0.362 0.277
Au 0.000 0.000 0.000

For the energy above the lowest structure with this stoichiometry, the calculation gives 46.8 meV/atom. Its density of states at the Fermi level is 0.343 states/eV per atom. As for the formation energy: -75 meV per atom.

***

Entry 4:
Here is a relaxed structure of Zn4Cu5Au from the Alexandria database. Energies are from PBE.

abc: 4.955 5.999 5.999
angles: 80.18 65.61 65.61
Fractional positions:
Zn 0.325 0.387 0.881
Zn 0.712 0.881 0.613
Zn 0.206 0.119 0.387
Zn 0.593 0.613 0.119
Cu 0.889 0.411 0.715
Cu 0.301 0.715 0.589
Cu 0.604 0.285 0.411
Cu 0.016 0.589 0.285
Cu 0.692 0.000 0.000
Au 0.172 0.000 0.000

For the energy above the lowest structure with this stoichiometry, the calculation gives 208.8 meV/atom. Its density of states at the Fermi level is 0.279 states/eV per atom. As for the formation energy: 127 meV per atom.

***

Entry 5:
Here is a relaxed structure of Zn2Cu7Au3 from the Alexandria database. Energies are from PBE.

abc: 2.811 4.281 14.316
angles: 92.17 90.00 90.00
Fractional positions:
Zn 0.500 0.722 0.289
Zn 0.500 0.278 0.711
Cu 0.500 0.745 0.459
Cu 0.500 0.255 0.541
Cu 0.000 0.693 0.148
Cu 0.000 0.000 0.000
Cu 0.000 0.307 0.852
Cu 0.500 0.808 0.828
Cu 0.500 0.192 0.172
Au 0.500 0.500 0.000
Au 0.000 0.234 0.372
Au 0.000 0.766 0.628

Its density of states at the Fermi level is 0.295 states/eV per atom. As for the formation energy: 14 meV per atom.

***

Entry 6:
Here is a relaxed structure of Zn3Cu3Au from the Alexandria database. Energies are from PBE.

abc: 5.096 7.001 7.261
angles: 119.27 96.06 112.36
Fractional positions:
Zn 0.754 0.626 0.481
Zn 0.748 0.482 0.046
Zn 0.754 0.916 0.318
Zn 0.246 0.374 0.519
Zn 0.252 0.518 0.954
Zn 0.246 0.084 0.682
Cu 0.261 0.810 0.826
Cu 0.246 0.222 0.089
Cu 0.241 0.950 0.227
Cu 0.739 0.190 0.174
Cu 0.754 0.778 0.911
Cu 0.759 0.050 0.773
Au 0.259 0.667 0.383
Au 0.741 0.333 0.617

For the energy above the lowest structure with this stoichiometry, the calculation gives 0.0 meV/atom. Its density of states at the Fermi level is 0.265 states/eV per atom. As for the formation energy: -94 meV per atom.

***

Entry 7:
Here is a relaxed structure of Zn3Cu2Au4 from the Alexandria database. Energies are from PBE.

abc: 3.973 4.769 8.467
angles: 75.26 90.08 65.65
Fractional positions:
Zn 0.338 0.323 0.441
Zn 0.000 0.000 0.000
Zn 0.662 0.677 0.559
Cu 0.322 0.357 0.774
Cu 0.678 0.643 0.226
Au 0.662 0.675 0.889
Au 0.021 0.959 0.335
Au 0.979 0.041 0.665
Au 0.338 0.325 0.111

For the energy above the lowest structure with this stoichiometry, the calculation gives 2.5 meV/atom. Its density of states at the Fermi level is 0.297 states/eV per atom. As for the formation energy: -141 meV per atom.

***

Entry 8:
Here is a relaxed structure of Zn7CuAu12 from the Alexandria database. Energies are from PBE.

abc: 7.526 7.526 7.526
angles: 107.66 107.66 107.66
Fractional positions:
Zn 0.977 0.590 0.704
Zn 0.410 0.296 0.023
Zn 0.296 0.023 0.410
Zn 0.500 0.500 0.500
Zn 0.704 0.977 0.590
Zn 0.590 0.704 0.977
Zn 0.023 0.410 0.296
Cu 0.000 0.000 0.000
Au 0.021 0.319 0.910
Au 0.681 0.090 0.979
Au 0.662 0.231 0.399
Au 0.769 0.601 0.338
Au 0.090 0.979 0.681
Au 0.601 0.338 0.769
Au 0.399 0.662 0.231
Au 0.910 0.021 0.319
Au 0.231 0.399 0.662
Au 0.338 0.769 0.601
Au 0.319 0.910 0.021
Au 0.979 0.681 0.090

Its density of states at the Fermi level is 0.382 states/eV per atom. As for the formation energy: -118 meV per atom.

***

Entry 9:
Here is a relaxed structure of Zn3Cu8Au from the Alexandria database. Energies are from PBE.

abc: 6.437 6.437 6.437
angles: 94.57 117.39 117.39
Fractional positions:
Zn 0.500 0.750 0.250
Zn 0.500 0.250 0.750
Zn 0.000 0.500 0.500
Cu 0.522 0.297 0.297
Cu 0.478 0.774 0.774
Cu 0.000 0.703 0.226
Cu 0.000 0.226 0.703
Cu 0.274 0.408 0.408
Cu 0.726 0.134 0.134
Cu 0.000 0.592 0.866
Cu 0.000 0.866 0.592
Au 0.000 0.000 0.000

For the energy above the lowest structure with this stoichiometry, the calculation gives 400.0 meV/atom. Its density of states at the Fermi level is 0.374 states/eV per atom. As for the formation energy: 371 meV per atom.

***

Entry 10:
Here is a relaxed structure of Zn3Cu8Au from the Alexandria database. Energies are from PBE.

abc: 2.684 7.640 11.493
angles: 50.45 75.66 99.62
Fractional positions:
Zn 0.242 0.309 0.916
Zn 0.766 0.244 0.351
Zn 0.750 0.683 0.089
Cu 0.471 0.704 0.884
Cu 0.420 0.110 0.642
Cu 0.699 0.092 0.846
Cu 0.360 0.500 0.394
Cu 0.648 0.489 0.596
Cu 0.301 0.905 0.154
Cu 0.522 0.294 0.125
Cu 0.587 0.890 0.352
Au 0.232 0.749 0.649

For the energy above the lowest structure with this stoichiometry, the calculation gives 0.0 meV/atom. Its density of states at the Fermi level is 0.301 states/eV per atom. As for the formation energy: -29 meV per atom.

***

Entry 11:
Here is a relaxed structure of Zn2Cu3Au3 from the Alexandria database. Energies are from PBE.

abc: 3.789 4.012 8.318
angles: 103.81 103.16 90.00
Fractional positions:
Zn 0.247 0.246 0.494
Zn 0.753 0.754 0.506
Cu 0.625 0.125 0.251
Cu 0.500 0.500 0.000
Cu 0.375 0.875 0.749
Au 0.131 0.630 0.262
Au 0.869 0.370 0.738
Au 0.000 0.000 0.000

For the energy above the lowest structure with this stoichiometry, the calculation gives 0.0 meV/atom. Its density of states at the Fermi level is 0.268 states/eV per atom. As for the formation energy: -102 meV per atom.

***

Entry 12:
Here is a relaxed structure of Zn2Cu4Au3 from the Alexandria database. Energies are from PBE.

abc: 4.711 7.711 7.711
angles: 72.76 83.06 83.06
Fractional positions:
Zn 0.205 0.746 0.490
Zn 0.295 0.510 0.254
Zn 0.795 0.254 0.510
Zn 0.705 0.490 0.746
Cu 0.535 0.070 0.820
Cu 0.965 0.180 0.930
Cu 0.465 0.930 0.180
Cu 0.035 0.820 0.070
Cu 0.636 0.852 0.599
Cu 0.864 0.401 0.148
Cu 0.364 0.148 0.401
Cu 0.136 0.599 0.852
Au 0.088 0.962 0.712
Au 0.412 0.288 0.038
Au 0.912 0.038 0.288
Au 0.588 0.712 0.962
Au 0.250 0.377 0.623
Au 0.750 0.623 0.377

For the energy above the lowest structure with this stoichiometry, the calculation gives 10.3 meV/atom. Its density of states at the Fermi level is 0.336 states/eV per atom. As for the formation energy: -83 meV per atom.

***

Entry 13:
Here is a relaxed structure of ZnCu12Au6 from the Alexandria database. Energies are from PBE.

abc: 7.111 7.111 7.111
angles: 106.85 106.85 106.85
Fractional positions:
Zn 0.000 0.000 0.000
Cu 0.891 0.109 0.500
Cu 0.899 0.673 0.673
Cu 0.673 0.673 0.899
Cu 0.327 0.101 0.327
Cu 0.327 0.327 0.101
Cu 0.101 0.327 0.327
Cu 0.109 0.500 0.891
Cu 0.500 0.891 0.109
Cu 0.109 0.891 0.500
Cu 0.891 0.500 0.109
Cu 0.500 0.109 0.891
Cu 0.673 0.899 0.673
Au 0.704 0.306 0.306
Au 0.306 0.306 0.704
Au 0.306 0.704 0.306
Au 0.694 0.694 0.296
Au 0.296 0.694 0.694
Au 0.694 0.296 0.694

Its density of states at the Fermi level is 0.173 states/eV per atom. As for the formation energy: 137 meV per atom.

***

Entry 14:
Here is a relaxed structure of Zn2CuAu7 from the Alexandria database. Energies are from PBE.

abc: 4.404 4.404 10.910
angles: 90.00 90.00 120.00
Fractional positions:
Zn 0.333 0.667 0.679
Zn 0.667 0.333 0.351
Cu 0.000 0.000 0.016
Au 0.667 0.333 0.587
Au 0.667 0.333 0.855
Au 0.000 0.000 0.740
Au 0.000 0.000 0.266
Au 0.333 0.667 0.429
Au 0.333 0.667 0.976
Au 0.667 0.333 0.116

For the energy above the lowest structure with this stoichiometry, the calculation gives 0.0 meV/atom. Its density of states at the Fermi level is 0.377 states/eV per atom. As for the formation energy: -27 meV per atom.

***

Entry 15:
Here is a relaxed structure of Zn4Cu9Au11 from the Alexandria database. Energies are from PBE.

abc: 2.937 11.468 11.468
angles: 106.97 90.00 90.00
Fractional positions:
Zn 0.500 0.577 0.743
Zn 0.500 0.423 0.257
Zn 0.500 0.743 0.577
Zn 0.500 0.257 0.423
Cu 0.500 0.604 0.161
Cu 0.500 0.396 0.839
Cu 0.500 0.161 0.604
Cu 0.500 0.839 0.396
Cu 0.500 0.805 0.994
Cu 0.500 0.195 0.006
Cu 0.500 0.994 0.805
Cu 0.500 0.006 0.195
Cu 0.500 0.500 0.500
Au 0.000 0.602 0.952
Au 0.000 0.398 0.048
Au 0.000 0.952 0.602
Au 0.000 0.048 0.398
Au 0.000 0.626 0.374
Au 0.000 0.374 0.626
Au 0.000 0.807 0.193
Au 0.000 0.193 0.807
Au 0.000 0.000 0.000
Au 0.000 0.783 0.783
Au 0.000 0.217 0.217

Its density of states at the Fermi level is 0.371 states/eV per atom. As for the formation energy: -83 meV per atom.

***

Entry 16:
Here is a relaxed structure of Zn4Cu2Au3 from the Alexandria database. Energies are from PBE.

abc: 3.768 4.888 8.474
angles: 73.60 89.62 66.86
Fractional positions:
Zn 0.669 0.665 0.892
Zn 0.013 0.978 0.334
Zn 0.987 0.022 0.666
Zn 0.331 0.335 0.108
Cu 0.334 0.330 0.786
Cu 0.666 0.670 0.214
Au 0.333 0.337 0.424
Au 0.000 0.000 0.000
Au 0.667 0.663 0.576

For the energy above the lowest structure with this stoichiometry, the calculation gives 0.0 meV/atom. Its density of states at the Fermi level is 0.288 states/eV per atom. As for the formation energy: -151 meV per atom.

***

Entry 17:
Here is a relaxed structure of Zn12Cu5Au3 from the Alexandria database. Energies are from PBE.

abc: 12.719 12.719 12.719
angles: 109.47 109.47 109.47
Fractional positions:
Au 0.750 0.375 0.125
Au 0.875 0.750 0.125
Au 0.375 0.750 0.625
Au 0.250 0.125 0.375
Au 0.875 0.125 0.250
Au 0.375 0.625 0.250
Au 0.625 0.375 0.750
Au 0.125 0.875 0.750
Au 0.750 0.875 0.625
Au 0.625 0.250 0.375
Au 0.125 0.250 0.875
Au 0.250 0.625 0.875
Cu 0.125 0.375 0.250
Cu 0.000 0.500 0.000
Cu 0.000 0.000 0.000
Cu 0.375 0.250 0.125
Cu 0.500 0.000 0.500
Cu 0.500 0.500 0.000
Cu 0.125 0.750 0.375
Cu 0.750 0.125 0.875
Cu 0.750 0.625 0.375
Cu 0.375 0.125 0.750
Cu 0.625 0.875 0.250
Cu 0.500 0.500 0.500
Cu 0.500 0.000 0.000
Cu 0.000 0.000 0.500
Cu 0.250 0.375 0.625
Cu 0.250 0.875 0.125
Cu 0.000 0.500 0.500
Cu 0.875 0.250 0.625
Cu 0.625 0.750 0.875
Cu 0.875 0.625 0.750
Zn 0.722 0.138 0.060
Zn 0.337 0.560 0.421
Zn 0.940 0.362 0.278
Zn 0.560 0.222 0.138
Zn 0.584 0.722 0.663
Zn 0.940 0.579 0.163
Zn 0.337 0.778 0.416
Zn 0.079 0.916 0.138
Zn 0.579 0.940 0.663
Zn 0.722 0.584 0.163
Zn 0.778 0.440 0.362
Zn 0.837 0.921 0.060
Zn 0.138 0.722 0.560
Zn 0.362 0.421 0.084
Zn 0.084 0.921 0.362
Zn 0.416 0.138 0.579
Zn 0.084 0.163 0.222
Zn 0.440 0.663 0.079
Zn 0.837 0.916 0.278
Zn 0.138 0.416 0.079
Zn 0.362 0.940 0.778
Zn 0.579 0.638 0.416
Zn 0.921 0.837 0.560
Zn 0.778 0.337 0.916
Zn 0.421 0.362 0.584
Zn 0.079 0.163 0.440
Zn 0.222 0.663 0.084
Zn 0.163 0.084 0.722
Zn 0.638 0.060 0.222
Zn 0.862 0.584 0.921
Zn 0.560 0.337 0.921
Zn 0.584 0.862 0.421
Zn 0.916 0.837 0.778
Zn 0.916 0.079 0.638
Zn 0.862 0.278 0.440
Zn 0.163 0.079 0.940
Zn 0.638 0.579 0.916
Zn 0.421 0.060 0.337
Zn 0.278 0.416 0.837
Zn 0.222 0.560 0.638
Zn 0.921 0.084 0.862
Zn 0.663 0.222 0.584
Zn 0.440 0.778 0.862
Zn 0.060 0.421 0.837
Zn 0.416 0.278 0.337
Zn 0.060 0.638 0.722
Zn 0.663 0.440 0.579
Zn 0.278 0.862 0.940

Its density of states at the Fermi level is 0.296 states/eV per atom. As for the formation energy: 246 meV per atom.

***

| no. | mass density (Mg/m³) | spin magnetization (μB per atom) | calculated volume (Å³/atom) |
| --- | --- | --- | --- |
| 1 | 9.15 | 0.000 | 15.79 |
| 2 | 14.18 | 0.000 | 17.41 |
| 3 | 11.46 | 0.000 | 14.58 |
| 4 | 8.72 | 0.000 | 14.79 |
| 5 | 11.25 | 0.000 | 14.35 |
| 6 | 9.95 | 0.000 | 13.92 |
| 7 | 13.15 | 0.000 | 15.59 |
| 8 | 13.75 | 0.000 | 17.42 |
| 9 | 7.67 | 0.000 | 16.28 |
| 10 | 9.44 | 0.000 | 13.21 |
| 11 | 12.69 | 0.000 | 14.92 |
| 12 | 12.25 | 0.000 | 14.70 |
| 13 | 11.10 | 0.000 | 15.83 |
| 14 | 14.25 | 0.000 | 18.33 |
| 15 | 13.49 | 0.000 | 15.39 |
| 16 | 11.90 | 0.000 | 15.19 |
| 17 | 7.10 | 0.000 | 19.80 |